(1)
A geometry-optimized SrTcHg3 structure. Source: Alexandria via LeMat-Bulk, functional PBE.

## Properties
E_form: 1256 meV per atom
Offset from the most stable computed form: 1.072 eV per atom

a b c (Å): 6.037 6.037 6.037
angles (deg): 90.00 90.00 90.00
Space group Pm-3m (No. 221)
Symmetry-distinct sites (fractional):
Sr  0.000  0.000  0.000 [1 per cell]
Tc  0.500  0.500  0.500 [1 per cell]
Hg  0.000  0.000  0.500 [3 per cell]



(2)
A geometry-optimized SrTcHg structure. Source: Alexandria via LeMat-Bulk, functional PBE.

## Properties
E_form: 553 meV per atom
Offset from the most stable computed form: 0.012 eV per atom

a b c (Å): 3.676 3.676 10.970
angles (deg): 90.00 90.00 90.00
Space group I4mm (No. 107)
Symmetry-distinct sites (fractional):
Sr  0.000  0.000  0.000 [2 per cell]
Tc  0.000  0.000  0.704 [2 per cell]
Hg  0.000  0.000  0.291 [2 per cell]



(3)
A geometry-optimized SrTc2Hg structure. Source: Alexandria via LeMat-Bulk, functional PBE.

## Properties
E_form: 258 meV per atom

a b c (Å): 3.198 3.198 8.188
angles (deg): 90.00 90.00 90.00
Space group P4mm (No. 99)
Symmetry-distinct sites (fractional):
Sr  0.000  0.000  0.000 [1 per cell]
Tc  0.000  0.000  0.441 [1 per cell]
Tc  0.500  0.500  0.294 [1 per cell]
Hg  0.500  0.500  0.689 [1 per cell]



(4)
A geometry-optimized SrTc2Hg structure. Source: Alexandria via LeMat-Bulk, functional PBE.

## Properties
E_form: 974 meV per atom

a b c (Å): 4.098 4.098 9.782
angles (deg): 90.00 90.00 90.00
Space group I4/mmm (No. 139)
Symmetry-distinct sites (fractional):
Sr  0.000  0.000  0.000 [2 per cell]
Tc  0.000  0.500  0.250 [4 per cell]
Hg  0.000  0.000  0.500 [2 per cell]



(5)
A geometry-optimized SrTc2Hg structure. Source: Alexandria via LeMat-Bulk, functional PBE.

## Properties
E_form: 1007 meV per atom

a b c (Å): 3.800 4.244 9.732
angles (deg): 90.00 90.00 90.00
Space group Cmmm (No. 65)
Symmetry-distinct sites (fractional):
Sr  0.000  0.000  0.000 [2 per cell]
Tc  0.000  0.500  0.271 [4 per cell]
Hg  0.000  0.000  0.500 [2 per cell]



(6)
A geometry-optimized SrTcHg structure. Source: Alexandria via LeMat-Bulk, functional PBE.

## Properties
E_form: 541 meV per atom
Offset from the most stable computed form: 0.000 eV per atom

a b c (Å): 4.8914 4.8914 3.7268
angles (deg): 90.00 90.00 120.00
Space group P-6m2 (No. 187)
Symmetry-distinct sites (fractional):
Sr  0.0000  0.0000  0.0000 [1 per cell]
Tc  0.6667  0.3333  0.5000 [1 per cell]
Hg  0.3333  0.6667  0.5000 [1 per cell]



Q: Among the records above, which one has the highest E_form?
A: SrTcHg3



Q: Which value of E_form does entry 5 give?
A: 1007 meV per atom



Q: E_form of number 4 (SrTc2Hg)?
A: 974 meV per atom



Repeat the second record exactly.
A geometry-optimized SrTcHg structure. Source: Alexandria via LeMat-Bulk, functional PBE.

## Properties
E_form: 553 meV per atom
Offset from the most stable computed form: 0.012 eV per atom

a b c (Å): 3.676 3.676 10.970
angles (deg): 90.00 90.00 90.00
Space group I4mm (No. 107)
Symmetry-distinct sites (fractional):
Sr  0.000  0.000  0.000 [2 per cell]
Tc  0.000  0.000  0.704 [2 per cell]
Hg  0.000  0.000  0.291 [2 per cell]